Entry from Alexandria: Hf2ScFe after structural relaxation (PBEsol).

Output
The value obtained for the formation energy is 0.135 eV per atom. The value obtained for the raw total energy is -9.009 eV per atom.

Geometry as CIF:
```
data_Hf2ScFe
_space_group_name_H-M_alt 'F m -3 m'
_space_group_IT_number 225
_space_group_name_Hall '-F 4 2 3'
_cell_length_a 6.538
_cell_length_b 6.538
_cell_length_c 6.538
_cell_angle_alpha 90.00
_cell_angle_beta 90.00
_cell_angle_gamma 90.00
loop_
_atom_site_label
_atom_site_fract_x
_atom_site_fract_y
_atom_site_fract_z
_atom_site_occupancy
Hf1 0.250 0.250 0.250 1
Sc1 0.000 0.000 0.000 1
Fe1 0.000 0.000 0.500 1
```

***

Entry from Alexandria: BaTlCr2Cd after structural relaxation (PBEsol).

Output
The value obtained for the formation energy is 1.093 eV per atom. The value obtained for the raw total energy is -4.199 eV per atom.

Geometry as CIF:
```
data_BaTlCr2Cd
_space_group_name_H-M_alt 'P 4/m m m'
_space_group_IT_number 123
_space_group_name_Hall '-P 4 2'
_cell_length_a 5.226
_cell_length_b 5.226
_cell_length_c 6.104
_cell_angle_alpha 90.00
_cell_angle_beta 90.00
_cell_angle_gamma 90.00
loop_
_atom_site_label
_atom_site_fract_x
_atom_site_fract_y
_atom_site_fract_z
_atom_site_occupancy
Ba1 0.000 0.000 0.000 1
Tl1 0.500 0.500 0.000 1
Cr1 0.000 0.500 0.500 1
Cd1 0.000 0.000 0.500 1
```

***

Entry from Alexandria: CaTl2Cd after structural relaxation (PBEsol).

Output
The excess energy over the best structure of this formula in the dataset is 9.8 kJ/mol of formula units. The value obtained for the formation energy is -0.245 eV per atom. The value obtained for the raw total energy is -2.393 eV per atom.

Geometry as CIF:
```
data_CaTl2Cd
_space_group_name_H-M_alt 'I m m 2'
_space_group_IT_number 44
_cell_length_a 4.637
_cell_length_b 4.668
_cell_length_c 9.544
_cell_angle_alpha 90.00
_cell_angle_beta 90.00
_cell_angle_gamma 90.00
loop_
_space_group_symop_operation_xyz
'x,y,z'
'-x,-y,z'
'-x,y,z'
'x,-y,z'
'x+1/2,y+1/2,z+1/2'
'-x+1/2,-y+1/2,z+1/2'
'-x+1/2,y+1/2,z+1/2'
'x+1/2,-y+1/2,z+1/2'
loop_
_atom_site_label
_atom_site_fract_x
_atom_site_fract_y
_atom_site_fract_z
_atom_site_occupancy
Ca1 0.000 0.000 0.000 1
Tl1 0.000 0.000 0.499 1
Tl2 0.000 0.500 0.249 1
Cd1 0.000 0.500 0.750 1
```

***

Entry from Alexandria: ZrRuI2N after structural relaxation (PBEsol).

Output
For the energy relative to the elements, uncorrected, the calculation gives 0.67 eV per atom. The value obtained for the raw total energy is -5.599 eV per atom.

Geometry as CIF:
```
data_ZrRuI2N
_space_group_name_H-M_alt 'P 4/m m m'
_space_group_IT_number 123
_space_group_name_Hall '-P 4 2'
_cell_length_a 5.748
_cell_length_b 5.748
_cell_length_c 3.882
_cell_angle_alpha 90.00
_cell_angle_beta 90.00
_cell_angle_gamma 90.00
loop_
_atom_site_label
_atom_site_fract_x
_atom_site_fract_y
_atom_site_fract_z
_atom_site_occupancy
Zr1 0.000 0.000 0.000 1
Ru1 0.500 0.500 0.500 1
I1 0.000 0.500 0.000 1
N1 0.000 0.000 0.500 1
```

***

Entry from Alexandria: La3Ta after structural relaxation (PBEsol).

Output
The value obtained for the formation energy is 0.426 eV per atom. The value obtained for the raw total energy is -6.722 eV per atom.

Geometry as CIF:
```
data_La3Ta
_space_group_name_H-M_alt 'I m m 2'
_space_group_IT_number 44
_cell_length_a 3.320
_cell_length_b 11.790
_cell_length_c 5.818
_cell_angle_alpha 90.00
_cell_angle_beta 90.00
_cell_angle_gamma 90.00
loop_
_space_group_symop_operation_xyz
'x,y,z'
'-x,-y,z'
'-x,y,z'
'x,-y,z'
'x+1/2,y+1/2,z+1/2'
'-x+1/2,-y+1/2,z+1/2'
'-x+1/2,y+1/2,z+1/2'
'x+1/2,-y+1/2,z+1/2'
loop_
_atom_site_label
_atom_site_fract_x
_atom_site_fract_y
_atom_site_fract_z
_atom_site_occupancy
La1 0.000 0.000 0.000 1
La2 0.000 0.218 0.581 1
Ta1 0.000 0.500 0.965 1
```

***

Entry from Alexandria: Ge3RuBr after structural relaxation (PBEsol).

Output
For the energy relative to the elements, uncorrected, the calculation gives 1.65 eV per atom. The value obtained for the raw total energy is -3.720 eV per atom.

Geometry as CIF:
```
data_Ge3RuBr
_space_group_name_H-M_alt 'P m -3 m'
_space_group_IT_number 221
_space_group_name_Hall '-P 4 2 3'
_cell_length_a 4.927
_cell_length_b 4.927
_cell_length_c 4.927
_cell_angle_alpha 90.00
_cell_angle_beta 90.00
_cell_angle_gamma 90.00
loop_
_atom_site_label
_atom_site_fract_x
_atom_site_fract_y
_atom_site_fract_z
_atom_site_occupancy
Ge1 0.000 0.000 0.500 1
Ru1 0.500 0.500 0.500 1
Br1 0.000 0.000 0.000 1
```

***

Entry from Alexandria: YBe2Se after structural relaxation (PBEsol).

Output
For the energy relative to the elements, uncorrected, the calculation gives -0.10 eV per atom. The value obtained for the raw total energy is -4.764 eV per atom.

Geometry as CIF:
```
data_YBe2Se
_space_group_name_H-M_alt 'I -4 2 d'
_space_group_IT_number 122
_space_group_name_Hall 'I -4 2bw'
_cell_length_a 7.115
_cell_length_b 7.115
_cell_length_c 5.444
_cell_angle_alpha 90.00
_cell_angle_beta 90.00
_cell_angle_gamma 90.00
loop_
_atom_site_label
_atom_site_fract_x
_atom_site_fract_y
_atom_site_fract_z
_atom_site_occupancy
Y1 0.000 0.000 0.000 1
Be1 0.191 0.250 0.625 1
Se1 0.000 0.000 0.500 1
```

***

Entry from Alexandria: TcPtRh3 after structural relaxation (PBEsol).

Output
The value obtained for the formation energy is 2.079 eV per atom. The value obtained for the raw total energy is -6.450 eV per atom.

Geometry as CIF:
```
data_TcPtRh3
_space_group_name_H-M_alt 'P m -3 m'
_space_group_IT_number 221
_space_group_name_Hall '-P 4 2 3'
_cell_length_a 4.654
_cell_length_b 4.654
_cell_length_c 4.654
_cell_angle_alpha 90.00
_cell_angle_beta 90.00
_cell_angle_gamma 90.00
loop_
_atom_site_label
_atom_site_fract_x
_atom_site_fract_y
_atom_site_fract_z
_atom_site_occupancy
Tc1 0.000 0.000 0.000 1
Pt1 0.500 0.500 0.500 1
Rh1 0.000 0.500 0.500 1
```

***

Q: Number 5 is which compound?
A: La3Ta